The following is a DFT calculation (PBE) of TmThIrOs after structural relaxation.

Properties
N(E_F) (states/eV/f.u.): 2.3
Energy of formation (eV/f.u.): -2.1

The structure in POSCAR format:
```
TmThIrOs
1.0
-1.630 2.722 3.768
-4.792 0.008 1.140
-1.552 -2.190 4.130
Tm Ir Os Th
1 1 1 1
Direct
0.250 0.250 0.250
0.000 0.000 0.000
0.500 0.500 0.500
0.750 0.750 0.750
```